[1]
An optimized crystal structure of Pm3Al4Cd2. Source: Alexandria, functional PBE-GGA. Values from VASP.

Summary:
- SG: No. 12
- Total magnetic moment: 0.000 μB/cell
- Formation energy from the elements: -0.4167 eV per atom

The structure in Quantum ESPRESSO input format:
```
&SYSTEM
  ibrav = 0, nat = 9, ntyp = 3
/
ATOMIC_SPECIES
Pm 145.00 Pm.upf
Al 26.98 Al.upf
Cd 112.41 Cd.upf
CELL_PARAMETERS angstrom
4.698 0.000 0.000
-2.349 5.225 -1.825
0.000 -0.614 8.926
ATOMIC_POSITIONS crystal
Pm 0.665 0.330 0.669
Pm 0.000 0.000 0.000
Pm 0.335 0.670 0.331
Al 0.731 0.462 0.060
Al 0.269 0.538 0.940
Al 0.950 0.901 0.613
Al 0.050 0.099 0.387
Cd 0.615 0.231 0.281
Cd 0.385 0.769 0.719
```


[2]
An optimized crystal structure of Sm3Dy5Th. Source: Alexandria, functional PBE-GGA. Values from VASP.

Summary:
- SG: No. 12
- Total magnetic moment: 0.000 μB/cell
- Formation energy from the elements: 0.5395 eV per atom

The structure in Quantum ESPRESSO input format:
```
&SYSTEM
  ibrav = 0, nat = 18, ntyp = 3
/
ATOMIC_SPECIES
Sm 150.36 Sm.upf
Dy 162.50 Dy.upf
Th 232.04 Th.upf
CELL_PARAMETERS angstrom
9.436 -0.028 1.571
2.556 9.083 1.571
5.809 4.387 9.202
ATOMIC_POSITIONS crystal
Sm 0.696 0.696 0.810
Sm 0.662 0.662 0.360
Sm 0.000 0.000 0.000
Sm 0.000 0.000 0.500
Sm 0.304 0.304 0.190
Sm 0.338 0.338 0.640
Dy 0.844 0.345 0.255
Dy 0.257 0.743 0.000
Dy 0.819 0.819 0.956
Dy 0.492 0.492 0.227
Dy 0.508 0.508 0.773
Dy 0.181 0.181 0.044
Dy 0.345 0.844 0.255
Dy 0.743 0.257 0.000
Dy 0.156 0.655 0.745
Dy 0.655 0.156 0.745
Th 0.161 0.161 0.593
Th 0.839 0.839 0.407
```


[3]
An optimized crystal structure of ScInOs2. Source: Alexandria, functional PBE-GGA. Values from VASP.

Summary:
- SG: No. 122
- Total magnetic moment: 0.000 μB/cell
- Formation energy from the elements: 0.5478 eV per atom

The structure in Quantum ESPRESSO input format:
```
&SYSTEM
  ibrav = 0, nat = 8, ntyp = 3
/
ATOMIC_SPECIES
Sc 44.96 Sc.upf
Os 190.23 Os.upf
In 114.82 In.upf
CELL_PARAMETERS angstrom
-2.888 1.617 -2.469
-2.653 -2.936 1.179
-5.691 4.782 6.335
ATOMIC_POSITIONS crystal
Sc 0.500 0.500 0.000
Sc 0.250 0.750 0.500
Os 0.543 0.125 0.250
Os 0.207 0.625 0.250
Os 0.375 0.457 0.750
Os 0.875 0.793 0.750
In 0.000 0.000 0.000
In 0.750 0.250 0.500
```


[4]
An optimized crystal structure of PtCNF2. Source: Alexandria, functional PBE-GGA. Values from VASP.

Summary:
- SG: No. 123
- Total magnetic moment: 0.188 μB/cell
- Formation energy (no corrections): 0.320 eV per atom
- E above lowest polymorph: 0.0000 eV per atom

The structure in Quantum ESPRESSO input format:
```
&SYSTEM
  ibrav = 0, nat = 5, ntyp = 4
/
ATOMIC_SPECIES
C 12.01 C.upf
N 14.01 N.upf
Pt 195.08 Pt.upf
F 19.00 F.upf
CELL_PARAMETERS angstrom
4.721 0.000 0.000
0.000 4.721 0.000
0.000 0.000 2.466
ATOMIC_POSITIONS crystal
C 0.000 0.000 0.000
N 0.000 0.000 0.500
Pt 0.500 0.500 0.500
F 0.000 0.500 0.000
F 0.500 0.000 0.000
```


[5]
An optimized crystal structure of ZrRePb3. Source: Alexandria, functional PBE-GGA. Values from VASP.

Summary:
- SG: No. 221
- Total magnetic moment: 5.039 μB/cell
- Formation energy from the elements: 1.5468 eV per atom
- E above lowest polymorph: 0.4431 eV per atom

The structure in Quantum ESPRESSO input format:
```
&SYSTEM
  ibrav = 0, nat = 5, ntyp = 3
/
ATOMIC_SPECIES
Pb 207.20 Pb.upf
Re 186.21 Re.upf
Zr 91.22 Zr.upf
CELL_PARAMETERS angstrom
-1.339 5.121 1.909
-4.258 -2.210 2.941
3.426 -0.745 4.401
ATOMIC_POSITIONS crystal
Pb 0.000 0.500 0.000
Pb 0.000 0.000 0.500
Pb 0.500 0.000 0.000
Re 0.500 0.500 0.500
Zr 0.000 0.000 0.000
```


[6]
An optimized crystal structure of NaMnBe2. Source: Alexandria, functional PBE-GGA. Values from VASP.

Summary:
- SG: No. 141
- Total magnetic moment: 7.032 μB/cell
- Formation energy from the elements: 0.8707 eV per atom
- E above lowest polymorph: 0.1867 eV per atom

The structure in Quantum ESPRESSO input format:
```
&SYSTEM
  ibrav = 0, nat = 8, ntyp = 3
/
ATOMIC_SPECIES
Na 22.99 Na.upf
Mn 54.94 Mn.upf
Be 9.01 Be.upf
CELL_PARAMETERS angstrom
4.255 0.000 0.000
0.000 4.255 0.000
2.128 2.128 8.221
ATOMIC_POSITIONS crystal
Na 0.500 0.500 0.000
Na 0.250 0.750 0.500
Mn 0.000 0.000 0.000
Mn 0.750 0.250 0.500
Be 0.875 0.125 0.250
Be 0.875 0.625 0.250
Be 0.375 0.125 0.750
Be 0.875 0.125 0.750
```